The following is a PBE calculation of crystalline CeGd2Ta at its relaxed geometry, from Alexandria.

The structure belongs to space group R-3m (No. 166, hexagonal axes); the cell edges are 3.2130, 3.2130 and 35.2177 Å and the angles 90.00°, 90.00° and 120.00°. The inequivalent atoms are Ce at (0.0000, 0.0000, 0.0000), Gd at (0.0000, 0.0000, 0.4170) and Ta at (0.0000, 0.0000, 0.5000).

The formation energy is 0.59 eV per atom. The total energy comes out at -130.7 eV/cell.